Entry 1:
Here is a relaxed structure of CsLi2YCd from Alexandria via LeMat-Bulk. Energies are from GGA-PBE.

Cell lengths 5.177, 6.253, 5.177 Å; angles 90.00, 90.00, 90.00 degrees
Sites, in units of the cell vectors:
Cd 0.000 0.500 0.000
Li 0.000 0.000 0.500
Li 0.500 0.000 0.000
Y 0.500 0.500 0.500
Cs 0.000 0.000 0.000

Total magnetic moment: 0.000 μB per atom
Calculated formation energy: 0.835 eV/atom
Calculated volume: 167.6 Å³ per cell
SG: P4/mmm (123)

---

Entry 2:
Here is a relaxed structure of CsLuCd2 from Alexandria via LeMat-Bulk. Energies are from GGA-PBE.

Cell lengths 3.824, 3.824, 9.133 Å; angles 90.00, 90.00, 90.00 degrees
Sites, in units of the cell vectors:
Lu 0.500 0.500 0.000
Cs 0.500 0.500 0.500
Cd 0.000 0.000 0.180
Cd 0.000 0.000 0.820

Total magnetic moment: 0.000 μB per atom
Calculated formation energy: -0.024 eV/atom
Calculated volume: 133.5 Å³ per cell
SG: P4/mmm (123)

---

Entry 3:
Here is a relaxed structure of CsLuCdTe3 from Alexandria via LeMat-Bulk. Energies are from GGA-PBE.

Cell lengths 8.948, 8.948, 11.780 Å; angles 90.00, 90.00, 150.91 degrees
Sites, in units of the cell vectors:
Te 0.619 0.381 0.042
Te 0.619 0.381 0.458
Te 0.936 0.064 0.250
Te 0.381 0.619 0.958
Te 0.381 0.619 0.542
Te 0.064 0.936 0.750
Cd 0.461 0.539 0.750
Cd 0.539 0.461 0.250
Cs 0.249 0.751 0.250
Cs 0.751 0.249 0.750
Lu 0.000 0.000 0.500
Lu 0.000 0.000 0.000

Total magnetic moment: 0.000 μB per atom
Formation energy without anion corrections: -1.055 eV/atom
Calculated volume: 458.6 Å³ per cell
SG: Cmcm (63)

---

Entry 4:
Here is a relaxed structure of CsMg2Cd9 from Alexandria via LeMat-Bulk. Energies are from GGA-PBE.

Cell lengths 3.397, 10.282, 10.282 Å; angles 120.00, 90.00, 90.00 degrees
Sites, in units of the cell vectors:
Cd 0.000 0.000 0.500
Cd 0.500 0.377 0.188
Cd 0.500 0.812 0.188
Cd 0.000 0.500 0.000
Cd 0.500 0.188 0.377
Cd 0.000 0.500 0.500
Cd 0.500 0.623 0.812
Cd 0.500 0.812 0.623
Cd 0.500 0.188 0.812
Mg 0.000 0.667 0.333
Mg 0.000 0.333 0.667
Cs 0.000 0.000 0.000

Total magnetic moment: 0.000 μB per atom
Calculated formation energy: 0.029 eV/atom
Calculated volume: 311.0 Å³ per cell
SG: P6/mmm (191)

---

Entry 5:
Here is a relaxed structure of CsMgCd from Alexandria via LeMat-Bulk. Energies are from GGA-PBE.

Cell lengths 4.127, 4.127, 7.556 Å; angles 105.85, 105.85, 90.00 degrees
Sites, in units of the cell vectors:
Cd 0.716 0.716 0.433
Mg 0.280 0.280 0.559
Cs 0.004 0.004 0.008

Total magnetic moment: 0.000 μB per atom
Calculated formation energy: 0.085 eV/atom
Calculated volume: 118.7 Å³ per cell
Polymorph energy (0 for the lowest one): 0.086 eV per atom
SG: I4mm (107)

---

Entry 6:
Here is a relaxed structure of Cs2MgCd from Alexandria via LeMat-Bulk. Energies are from GGA-PBE.

Cell lengths 10.793, 10.793, 8.578 Å; angles 51.01, 51.01, 90.00 degrees
Sites, in units of the cell vectors:
Cs 0.109 0.625 0.250
Cs 0.375 0.359 0.750
Cs 0.875 0.891 0.750
Cs 0.641 0.125 0.250
Mg 0.250 0.750 0.500
Mg 0.500 0.500 0.000
Cd 0.000 0.000 0.000
Cd 0.750 0.250 0.500

Total magnetic moment: 0.000 μB per atom
Calculated formation energy: 0.266 eV/atom
Calculated volume: 456.1 Å³ per cell
Polymorph energy (0 for the lowest one): 0.084 eV per atom
SG: I-42d (122)

---

Entry 7:
Here is a relaxed structure of CsMgCd from Alexandria via LeMat-Bulk. Energies are from GGA-PBE.

Cell lengths 5.058, 5.058, 12.912 Å; angles 78.29, 78.29, 60.76 degrees
Sites, in units of the cell vectors:
Cd 0.471 0.471 0.113
Cd 0.529 0.529 0.887
Mg 0.845 0.845 0.956
Mg 0.155 0.155 0.044
Cs 0.262 0.262 0.690
Cs 0.738 0.738 0.310

Total magnetic moment: 0.000 μB per atom
Calculated formation energy: 0.016 eV/atom
Calculated volume: 280.1 Å³ per cell
Polymorph energy (0 for the lowest one): 0.017 eV per atom
SG: C2/m (12)

---

Entry 8:
Here is a relaxed structure of Cs2MgCd7 from Alexandria via LeMat-Bulk. Energies are from GGA-PBE.

Cell lengths 4.972, 4.972, 13.278 Å; angles 90.00, 90.00, 90.00 degrees
Sites, in units of the cell vectors:
Cs 0.500 0.000 0.748
Cs 0.000 0.500 0.252
Cd 0.000 0.000 0.000
Cd 0.000 0.000 0.500
Cd 0.000 0.500 0.633
Cd 0.500 0.000 0.133
Cd 0.500 0.000 0.367
Cd 0.500 0.500 0.500
Cd 0.000 0.500 0.867
Mg 0.500 0.500 0.000

Total magnetic moment: 0.000 μB per atom
Calculated formation energy: -0.023 eV/atom
Calculated volume: 328.2 Å³ per cell
SG: P-4m2 (115)

---

Entry 9:
Here is a relaxed structure of CsMg7Cd12 from Alexandria via LeMat-Bulk. Energies are from GGA-PBE.

Cell lengths 7.586, 9.100, 9.100 Å; angles 112.59, 106.13, 106.13 degrees
Sites, in units of the cell vectors:
Mg 0.205 0.000 0.653
Mg 0.795 0.347 0.000
Mg 0.205 0.653 0.000
Mg 0.552 0.347 0.347
Mg 0.500 0.000 0.000
Mg 0.795 0.000 0.347
Mg 0.448 0.653 0.653
Cd 0.734 0.734 0.467
Cd 0.000 0.266 0.734
Cd 0.000 0.734 0.266
Cd 0.602 0.662 0.000
Cd 0.734 0.467 0.734
Cd 0.061 0.662 0.662
Cd 0.398 0.338 0.000
Cd 0.266 0.533 0.266
Cd 0.398 0.000 0.338
Cd 0.266 0.266 0.533
Cd 0.939 0.338 0.338
Cd 0.602 0.000 0.662
Cs 0.000 0.000 0.000

Total magnetic moment: 0.000 μB per atom
Calculated formation energy: -0.001 eV/atom
Calculated volume: 502.0 Å³ per cell
SG: R-3m (166)

---

Entry 10:
Here is a relaxed structure of Cs2MgCd3 from Alexandria via LeMat-Bulk. Energies are from GGA-PBE.

Cell lengths 6.464, 7.408, 9.874 Å; angles 90.00, 90.00, 90.00 degrees
Sites, in units of the cell vectors:
Cd 0.750 0.790 0.215
Cd 0.500 0.000 0.000
Cd 0.250 0.790 0.785
Cd 0.250 0.210 0.785
Cd 0.000 0.000 0.000
Cd 0.750 0.210 0.215
Mg 0.750 0.500 0.423
Mg 0.250 0.500 0.577
Cs 0.250 0.500 0.148
Cs 0.750 0.000 0.617
Cs 0.750 0.500 0.852
Cs 0.250 0.000 0.383

Total magnetic moment: 0.000 μB per atom
Calculated formation energy: 0.001 eV/atom
Calculated volume: 472.8 Å³ per cell
SG: Pmma (51)

---

Entry 11:
Here is a relaxed structure of Cs3Mg2Cd8 from Alexandria via LeMat-Bulk. Energies are from GGA-PBE.

Cell lengths 8.260, 8.234, 13.864 Å; angles 44.99, 45.09, 49.80 degrees
Sites, in units of the cell vectors:
Cd 0.281 0.270 0.983
Cd 0.794 0.220 0.725
Cd 0.287 0.278 0.554
Cd 0.719 0.730 0.017
Cd 0.784 0.214 0.269
Cd 0.206 0.780 0.275
Cd 0.216 0.786 0.731
Cd 0.713 0.722 0.446
Cs 0.000 0.000 0.000
Cs 0.764 0.759 0.694
Cs 0.236 0.241 0.306
Mg 0.411 0.406 0.664
Mg 0.589 0.594 0.336

Total magnetic moment: 0.000 μB per atom
Calculated formation energy: -0.007 eV/atom
Calculated volume: 451.6 Å³ per cell
SG: P-1 (2)

---

Entry 12:
Here is a relaxed structure of Cs2MgCd5 from Alexandria via LeMat-Bulk. Energies are from GGA-PBE.

Cell lengths 8.159, 8.180, 8.179 Å; angles 74.00, 129.62, 129.58 degrees
Sites, in units of the cell vectors:
Mg 0.998 0.086 0.086
Cs 0.500 0.217 0.716
Cs 0.500 0.717 0.217
Cd 0.001 0.227 0.712
Cd 0.000 0.711 0.226
Cd 0.484 0.710 0.711
Cd 0.515 0.227 0.226
Cd 0.001 0.329 0.329

Total magnetic moment: 0.000 μB per atom
Calculated formation energy: 0.026 eV/atom
Calculated volume: 316.1 Å³ per cell
SG: Cm (8)

---

Entry 13:
Here is a relaxed structure of CsMg6Cd8 from Alexandria via LeMat-Bulk. Energies are from GGA-PBE.

Cell lengths 7.652, 7.652, 7.652 Å; angles 70.57, 70.57, 70.57 degrees
Sites, in units of the cell vectors:
Mg 0.580 0.168 0.359
Mg 0.420 0.832 0.641
Mg 0.641 0.420 0.832
Mg 0.832 0.641 0.420
Mg 0.359 0.580 0.168
Mg 0.168 0.359 0.580
Cd 0.529 0.864 0.199
Cd 0.228 0.228 0.228
Cd 0.772 0.772 0.772
Cd 0.199 0.529 0.864
Cd 0.801 0.471 0.136
Cd 0.471 0.136 0.801
Cd 0.864 0.199 0.529
Cd 0.136 0.801 0.471
Cs 0.000 0.000 0.000

Total magnetic moment: 0.000 μB per atom
Calculated formation energy: 0.028 eV/atom
Calculated volume: 385.8 Å³ per cell
SG: R-3 (148)

---

Entry 14:
Here is a relaxed structure of CsMgCd4 from Alexandria via LeMat-Bulk. Energies are from GGA-PBE.

Cell lengths 6.308, 6.308, 6.308 Å; angles 60.00, 60.00, 60.00 degrees
Sites, in units of the cell vectors:
Cd 0.626 0.121 0.626
Cd 0.626 0.626 0.121
Cd 0.626 0.626 0.626
Cd 0.121 0.626 0.626
Mg 0.000 0.000 0.000
Cs 0.250 0.250 0.250

Total magnetic moment: 0.000 μB per atom
Calculated formation energy: 0.075 eV/atom
Calculated volume: 177.4 Å³ per cell
SG: F-43m (216)

---

Entry 15:
Here is a relaxed structure of Cs2Mg2Cd15 from Alexandria via LeMat-Bulk. Energies are from GGA-PBE.

Cell lengths 8.039, 8.039, 8.039 Å; angles 82.71, 82.71, 82.71 degrees
Sites, in units of the cell vectors:
Cd 0.140 0.654 0.654
Cd 0.000 0.714 0.286
Cd 0.000 0.286 0.714
Cd 0.346 0.860 0.346
Cd 0.654 0.654 0.140
Cd 0.286 0.714 0.000
Cd 0.714 0.286 0.000
Cd 0.286 0.000 0.714
Cd 0.714 0.000 0.286
Cd 0.500 0.000 0.000
Cd 0.000 0.500 0.000
Cd 0.000 0.000 0.500
Cd 0.346 0.346 0.860
Cd 0.654 0.140 0.654
Cd 0.860 0.346 0.346
Cs 0.349 0.349 0.349
Cs 0.651 0.651 0.651
Mg 0.099 0.099 0.099
Mg 0.901 0.901 0.901

Total magnetic moment: 0.000 μB per atom
Calculated formation energy: -0.040 eV/atom
Calculated volume: 508.0 Å³ per cell
SG: R-3m (166)

---

Entry 16:
Here is a relaxed structure of Cs2MgCd from Alexandria via LeMat-Bulk. Energies are from GGA-PBE.

Cell lengths 6.764, 6.764, 6.764 Å; angles 60.00, 60.00, 60.00 degrees
Sites, in units of the cell vectors:
Cs 0.750 0.750 0.750
Cs 0.250 0.250 0.250
Mg 0.000 0.000 0.000
Cd 0.500 0.500 0.500

Total magnetic moment: 0.004 μB per atom
Calculated formation energy: 0.186 eV/atom
Calculated volume: 218.8 Å³ per cell
Polymorph energy (0 for the lowest one): 0.004 eV per atom
SG: Fm-3m (225)

---

Entry 17:
Here is a relaxed structure of Cs2MgCd from Alexandria via LeMat-Bulk. Energies are from GGA-PBE.

Cell lengths 4.713, 6.789, 6.789 Å; angles 90.00, 90.00, 90.00 degrees
Sites, in units of the cell vectors:
Mg 0.500 0.000 0.000
Cd 0.500 0.500 0.500
Cs 0.000 0.500 0.000
Cs 0.000 0.000 0.500

Total magnetic moment: 0.000 μB per atom
Calculated formation energy: 0.181 eV/atom
Calculated volume: 217.2 Å³ per cell
Polymorph energy (0 for the lowest one): 0.000 eV per atom
SG: P4/mmm (123)

---

Entry 18:
Here is a relaxed structure of CsMgCd11 from Alexandria via LeMat-Bulk. Energies are from GGA-PBE.

Cell lengths 6.002, 8.044, 7.963 Å; angles 82.10, 67.86, 68.60 degrees
Sites, in units of the cell vectors:
Cd 0.993 0.357 0.647
Cd 0.000 0.500 0.000
Cd 0.000 0.000 0.500
Cd 0.728 0.769 0.771
Cd 0.007 0.643 0.353
Cd 0.499 0.769 0.229
Cd 0.272 0.231 0.229
Cd 0.500 0.000 0.500
Cd 0.361 0.643 0.647
Cd 0.501 0.231 0.771
Cd 0.639 0.357 0.353
Mg 0.500 0.500 0.000
Cs 0.000 0.000 0.000

Total magnetic moment: 0.000 μB per atom
Calculated formation energy: -0.022 eV/atom
Calculated volume: 331.5 Å³ per cell
SG: C2/m (12)

---

Entry 19:
Here is a relaxed structure of Cs2MgCd2 from Alexandria via LeMat-Bulk. Energies are from GGA-PBE.

Cell lengths 8.320, 8.320, 6.302 Å; angles 90.00, 90.00, 90.00 degrees
Sites, in units of the cell vectors:
Mg 0.500 0.500 0.000
Mg 0.000 0.000 0.000
Cs 0.679 0.821 0.500
Cs 0.321 0.179 0.500
Cs 0.179 0.679 0.500
Cs 0.821 0.321 0.500
Cd 0.632 0.132 0.000
Cd 0.132 0.368 0.000
Cd 0.368 0.868 0.000
Cd 0.868 0.632 0.000

Total magnetic moment: 0.000 μB per atom
Calculated formation energy: 0.080 eV/atom
Calculated volume: 436.3 Å³ per cell
Polymorph energy (0 for the lowest one): 0.132 eV per atom
SG: P4/mbm (127)

---

Entry 20:
Here is a relaxed structure of Cs4MgCd4 from Alexandria via LeMat-Bulk. Energies are from GGA-PBE.

Cell lengths 8.024, 9.824, 8.024 Å; angles 65.90, 90.00, 114.10 degrees
Sites, in units of the cell vectors:
Cd 0.884 0.207 0.677
Cd 0.323 0.207 0.116
Cd 0.677 0.793 0.323
Cd 0.116 0.793 0.884
Cs 0.858 0.286 0.142
Cs 0.429 0.286 0.571
Cs 0.142 0.714 0.429
Cs 0.571 0.714 0.858
Mg 0.000 0.000 0.000

Total magnetic moment: 0.000 μB per atom
Calculated formation energy: 0.082 eV/atom
Calculated volume: 516.4 Å³ per cell
SG: I-42m (121)

---

For the records above, the corresponding ρ values read 3.4, 6.6, 5.8, 6.4, 3.8, 2.9, 3.2, 5.4, 5.5, 4.4, 5.0, 4.5, 5.1, 5.7, 6.5, 3.1, 3.1, 7.0, 3.9, 3.2 Mg/m³.